Density functional theory data (GGA-PBEsol) for a relaxed AgSbIr2 crystal.

Lattice parameters (Å, degrees): 4.214 4.214 7.175 90.00 90.00 90.00
Fractional positions:
Ag  0.000  0.000  0.000
Ag  0.500  0.500  0.500
Sb  0.000  0.000  0.500
Sb  0.500  0.500  0.000
Ir  0.000  0.500  0.250
Ir  0.000  0.500  0.750
Ir  0.500  0.000  0.250
Ir  0.500  0.000  0.750

* V: 127 Å³/cell
* raw formation energy: 0.21 eV/atom
* density of states at the Fermi level: 0.35 states/eV per atom